The following is a PBE calculation of a relaxed structure of Tb6TlCd6, from Alexandria.

```
Tb6TlCd6
1.0
6.104 0.000 0.000
-3.052 5.286 0.000
0.000 0.000 11.068
Tb Tl Cd
6 1 6
direct
0.000 0.000 0.158
0.000 0.000 0.842
0.333 0.667 0.000
0.333 0.667 0.500
0.667 0.333 0.000
0.667 0.333 0.500
0.000 0.000 0.500
0.000 0.500 0.254
0.000 0.500 0.746
0.500 0.000 0.254
0.500 0.000 0.746
0.500 0.500 0.254
0.500 0.500 0.746
```

Results
Total moment in μB/f.u.: 0.7
Raw total energy in eV per atom: -2.895
Crystal system: hexagonal
Energy of formation from the pure elements in eV/atom: -0.15
Theoretical density in Mg/m³: 8.52